# 1
BaZr3Si | meta-GGA SCAN | single point on PBEsol structure

Summary:
Total moment in μB/f.u.: 1.07
Volume in Å³/f.u.: 136.0
Formation energy without anion corrections in eV per formula unit: 10.12

Unit cell a=5.143 b=5.143 c=5.143 alpha=90.00 beta=90.00 gamma=90.00
Space group Pm-3m (No. 221)
Unique sites:
Ba 0.000 0.000 0.000
Zr 0.000 0.000 0.500
Si 0.500 0.500 0.500



# 2
Ba4ZrSi | meta-GGA SCAN | single point on PBEsol structure

Summary:
Total moment in μB/f.u.: 4.58
Volume in Å³/f.u.: 226.6
Formation energy without anion corrections in eV per formula unit: 5.10

Unit cell a=9.678 b=9.678 c=9.678 alpha=90.00 beta=90.00 gamma=90.00
Space group F-43m (No. 216)
Unique sites:
Ba 0.124 0.124 0.376
Zr 0.000 0.000 0.000
Si 0.250 0.250 0.750